Entry 1:
Material: Mn2ReIr
Method: DFT, PBE-GGA
State: relaxed

POSCAR file:
```
Mn2ReIr
1.0
2.859 0.000 0.000
0.000 2.859 0.000
0.000 0.000 6.297
Mn Re Ir
2 1 1
Direct
0.000 0.000 0.000
0.500 0.500 0.156
0.000 0.000 0.426
0.500 0.500 0.717
```

The electronic total energy comes out at -39.31 eV for the cell shown. The space group is P4mm (99). For the formation energy, the calculation gives 0.086 eV per atom.

Entry 2:
Material: Mn2ReIr
Method: DFT, PBE-GGA
State: relaxed

POSCAR file:
```
Mn2ReIr
1.0
-1.876 1.876 3.778
1.876 -1.876 3.778
1.876 1.876 -3.778
Mn Re Ir
2 1 1
Direct
0.000 0.000 0.000
0.750 0.250 0.500
0.250 0.750 0.500
0.500 0.500 0.000
```

The electronic total energy comes out at -40.13 eV for the cell shown. The space group is I-4m2 (119). For the formation energy, the calculation gives -0.120 eV per atom.

Entry 3:
Material: MnReSi2Ir
Method: DFT, PBE-GGA
State: relaxed

POSCAR file:
```
MnReSi2Ir
1.0
4.557 0.000 0.000
0.000 4.557 0.000
0.000 0.000 4.839
Mn Re Si Ir
1 1 2 1
Direct
0.000 0.000 0.000
0.500 0.500 0.500
0.000 0.500 0.500
0.500 0.000 0.500
0.500 0.500 0.000
```

For the formation energy without anion corrections, the calculation gives 34.423 kcal/mol of atoms. The electronic total energy comes out at -33.86 eV for the cell shown. The space group is P4/mmm (123).

Entry 4:
Material: MnReSiIr
Method: DFT, PBE-GGA
State: relaxed

POSCAR file:
```
MnReSiIr
1.0
0.000 2.991 2.991
2.991 0.000 2.991
2.991 2.991 0.000
Mn Re Si Ir
1 1 1 1
Direct
0.000 0.000 0.000
0.250 0.250 0.250
0.500 0.500 0.500
0.750 0.750 0.750
```

For the formation energy without anion corrections, the calculation gives -6.875 kcal/mol of atoms. The electronic total energy comes out at -37.09 eV for the cell shown. The space group is F-43m (216).

Entry 5:
Material: Sr2MnReIr
Method: DFT, PBE-GGA
State: relaxed

POSCAR file:
```
Sr2MnReIr
1.0
5.738 0.000 0.000
0.000 5.738 0.000
0.000 0.000 4.370
Sr Mn Re Ir
2 1 1 1
Direct
0.000 0.500 0.000
0.500 0.000 0.000
0.000 0.000 0.000
0.500 0.500 0.500
0.000 0.000 0.500
```

The electronic total energy comes out at -26.65 eV for the cell shown. The space group is P4/mmm (123). For the formation energy, the calculation gives 1.439 eV per atom.

Entry 6:
Material: Mn2ReTeIr
Method: DFT, PBE-GGA
State: relaxed

POSCAR file:
```
Mn2ReTeIr
1.0
4.696 0.000 0.000
0.000 4.696 0.000
0.000 0.000 4.827
Mn Re Te Ir
2 1 1 1
Direct
0.000 0.500 0.000
0.500 0.000 0.000
0.000 0.000 0.000
0.500 0.500 0.500
0.000 0.000 0.500
```

For the formation energy without anion corrections, the calculation gives 27.503 kcal/mol of atoms. The electronic total energy comes out at -36.83 eV for the cell shown. The space group is P4/mmm (123).

Entry 7:
Material: Y2MnReIr
Method: DFT, PBE-GGA
State: relaxed

POSCAR file:
```
Y2MnReIr
1.0
5.308 0.000 0.000
0.000 5.308 0.000
0.000 0.000 4.373
Y Mn Re Ir
2 1 1 1
Direct
0.000 0.500 0.000
0.500 0.000 0.000
0.000 0.000 0.500
0.000 0.000 0.000
0.500 0.500 0.500
```

The electronic total energy comes out at -39.20 eV for the cell shown. The space group is P4/mmm (123). For the formation energy, the calculation gives 0.841 eV per atom.

Entry 8:
Material: Mn2IrRh5
Method: DFT, PBE-GGA
State: relaxed

POSCAR file:
```
Mn2IrRh5
1.0
5.390 0.000 0.000
0.000 10.783 0.000
0.000 0.000 3.805
Mn Ir Rh
4 2 10
Direct
0.248 0.124 0.000
0.252 0.624 0.000
0.748 0.376 0.000
0.752 0.876 0.000
0.000 0.000 0.500
0.500 0.500 0.500
0.000 0.500 0.500
0.001 0.249 0.500
0.250 0.376 0.000
0.250 0.876 0.000
0.499 0.749 0.500
0.500 0.000 0.500
0.501 0.251 0.500
0.750 0.124 0.000
0.750 0.624 0.000
0.999 0.751 0.500
```

The electronic total energy comes out at -129.96 eV for the cell shown. The space group is Pbam (55). For the formation energy, the calculation gives -0.128 eV per atom.